## A
DFT (SCAN) results for a PBEsol-optimized structure of FePtPb.

V   19.822 A^3/atom
Crystal system   cubic
Symmetry   No. 216

Cell lengths 6.1960, 6.1960, 6.1960 Å; angles 90.00, 90.00, 90.00 degrees
Last column: nearest neighbours and their distance in Å.
Fractional positions:
Fe 0.0000 0.0000 0.0000  4 Pt 2.68
Fe 0.0000 0.5000 0.5000  4 Pt 2.68
Fe 0.5000 0.0000 0.5000  4 Pt 2.68
Fe 0.5000 0.5000 0.0000  4 Pt 2.68
Pt 0.2500 0.2500 0.2500  4 Pb 2.68, 4 Fe 2.68
Pt 0.2500 0.7500 0.7500  4 Pb 2.68, 4 Fe 2.68
Pt 0.7500 0.2500 0.7500  4 Pb 2.68, 4 Fe 2.68
Pt 0.7500 0.7500 0.2500  4 Pb 2.68, 4 Fe 2.68
Pb 0.0000 0.0000 0.5000  4 Pt 2.68
Pb 0.0000 0.5000 0.0000  4 Pt 2.68
Pb 0.5000 0.0000 0.0000  4 Pt 2.68
Pb 0.5000 0.5000 0.5000  4 Pt 2.68

## B
DFT (SCAN) results for a PBEsol-optimized structure of FePtPb.

V   18.485 A^3/atom
Crystal system   trigonal
Symmetry   No. 156

Cell lengths 4.1582, 4.1582, 3.7034 Å; angles 90.00, 90.00, 120.00 degrees
Last column: nearest neighbours and their distance in Å.
Fractional positions:
Fe 0.0000 0.0000 0.0000  3 Pt 2.47
Pt 0.3333 0.6667 0.8380  3 Fe 2.47
Pb 0.6667 0.3333 0.4145  3 Fe 2.85, 3 Pt 2.87

The structure with the least stability is B.

## A
DFT (SCAN) results for a PBEsol-optimized structure of ScFePb2.

V   20.915 A^3/atom
Crystal system   tetragonal
Symmetry   No. 123

Cell lengths 4.5126, 4.5126, 4.1082 Å; angles 90.00, 90.00, 90.00 degrees
Last column: nearest neighbours and their distance in Å.
Fractional positions:
Sc 0.0000 0.0000 0.0000  8 Pb 3.05, 4 Fe 3.19
Fe 0.5000 0.5000 0.0000  8 Pb 3.05, 4 Sc 3.19
Pb 0.0000 0.5000 0.5000  4 Fe 3.05, 4 Sc 3.05, 4 Pb 3.19
Pb 0.5000 0.0000 0.5000  4 Fe 3.05, 4 Sc 3.05, 4 Pb 3.19

## B
DFT (SCAN) results for a PBEsol-optimized structure of ScFePb2.

V   21.260 A^3/atom
Crystal system   trigonal
Symmetry   No. 166

Cell lengths 3.3859, 3.3859, 25.6959 Å; angles 90.00, 90.00, 120.00 degrees
Last column: nearest neighbours and their distance in Å.
Fractional positions:
Sc 0.0000 0.0000 0.0000  6 Pb 3.10, 6 Sc 3.39
Sc 0.3333 0.6667 0.6667  6 Pb 3.10, 6 Sc 3.39
Sc 0.6667 0.3333 0.3333  6 Pb 3.10, 6 Sc 3.39
Fe 0.0000 0.0000 0.5000  6 Pb 2.71
Fe 0.3333 0.6667 0.1667  6 Pb 2.71
Fe 0.6667 0.3333 0.8333  6 Pb 2.71
Pb 0.0000 0.0000 0.2396  3 Fe 2.71
Pb 0.0000 0.0000 0.7604  3 Fe 2.71
Pb 0.3333 0.6667 0.4270  3 Fe 2.71
Pb 0.3333 0.6667 0.9063  3 Fe 2.71
Pb 0.6667 0.3333 0.0937  3 Fe 2.71
Pb 0.6667 0.3333 0.5730  3 Fe 2.71

## C
DFT (SCAN) results for a PBEsol-optimized structure of ScFePb2.

V   21.663 A^3/atom
Crystal system   monoclinic
Symmetry   No. 6

Cell lengths 3.4503, 4.4640, 5.7919 Å; angles 90.00, 103.74, 90.00 degrees
Last column: nearest neighbours and their distance in Å.
Fractional positions:
Sc 0.0000 0.0000 0.0000  2 Fe 2.74, 3 Pb 2.90-3.04
Fe 0.3246 0.5000 0.2470  2 Sc 2.74, 4 Pb 2.77-3.07
Pb 0.4288 0.5000 0.7878  2 Fe 2.77-3.07, 4 Sc 3.04-3.09
Pb 0.7712 0.0000 0.4498  2 Fe 2.81, 2 Sc 2.90-3.10

The structure with the least stability is B.

## A
DFT (SCAN) results for a PBEsol-optimized structure of FePbSe.

V   25.136 A^3/atom
Crystal system   cubic
Symmetry   No. 216

Cell lengths 6.7064, 6.7064, 6.7064 Å; angles 90.00, 90.00, 90.00 degrees
Last column: nearest neighbours and their distance in Å.
Fractional positions:
Fe 0.0000 0.0000 0.0000  4 Pb 2.90
Fe 0.0000 0.5000 0.5000  4 Pb 2.90
Fe 0.5000 0.0000 0.5000  4 Pb 2.90
Fe 0.5000 0.5000 0.0000  4 Pb 2.90
Pb 0.2500 0.2500 0.2500  4 Se 2.90, 4 Fe 2.90
Pb 0.2500 0.7500 0.7500  4 Se 2.90, 4 Fe 2.90
Pb 0.7500 0.2500 0.7500  4 Se 2.90, 4 Fe 2.90
Pb 0.7500 0.7500 0.2500  4 Se 2.90, 4 Fe 2.90
Se 0.0000 0.0000 0.5000  4 Pb 2.90
Se 0.0000 0.5000 0.0000  4 Pb 2.90
Se 0.5000 0.0000 0.0000  4 Pb 2.90
Se 0.5000 0.5000 0.5000  4 Pb 2.90

## B
DFT (SCAN) results for a PBEsol-optimized structure of FePbSe.

V   19.478 A^3/atom
Crystal system   tetragonal
Symmetry   No. 107

Cell lengths 3.0589, 3.0589, 12.4896 Å; angles 90.00, 90.00, 90.00 degrees
Last column: nearest neighbours and their distance in Å.
Fractional positions:
Fe 0.0000 0.0000 0.0000  4 Se 2.41
Fe 0.5000 0.5000 0.5000  4 Se 2.41
Pb 0.0000 0.0000 0.3301  4 Fe 3.03, 4 Pb 3.06, 1 Se 3.18
Pb 0.5000 0.5000 0.8301  4 Fe 3.03, 4 Pb 3.06, 1 Se 3.18
Se 0.0000 0.0000 0.5847  4 Fe 2.41
Se 0.5000 0.5000 0.0847  4 Fe 2.41

The structure with the least stability is A.

## A
DFT (SCAN) results for a PBEsol-optimized structure of TaFePb2.

V   19.382 A^3/atom
Crystal system   tetragonal
Symmetry   No. 123

Cell lengths 4.8554, 4.8554, 3.2886 Å; angles 90.00, 90.00, 90.00 degrees
Last column: nearest neighbours and their distance in Å.
Fractional positions:
Ta 0.0000 0.0000 0.0000  8 Pb 2.93
Fe 0.5000 0.5000 0.0000  8 Pb 2.93
Pb 0.0000 0.5000 0.5000  4 Ta 2.93, 4 Fe 2.93
Pb 0.5000 0.0000 0.5000  4 Ta 2.93, 4 Fe 2.93

## B
DFT (SCAN) results for a PBEsol-optimized structure of TaFePb2.

V   20.223 A^3/atom
Crystal system   monoclinic
Symmetry   No. 8

Cell lengths 10.6692, 3.1244, 5.2038 Å; angles 90.00, 111.15, 90.00 degrees
Last column: nearest neighbours and their distance in Å.
Fractional positions:
Ta 0.0000 0.0000 0.0000  2 Fe 2.48
Ta 0.5000 0.5000 0.0000  2 Fe 2.48
Fe 0.3264 0.0000 0.7083  2 Ta 2.48
Fe 0.8264 0.5000 0.7083  2 Ta 2.48
Pb 0.0629 0.5000 0.5463  3 Fe 2.94-3.06, 4 Ta 3.10, 3 Pb 3.12-3.26
Pb 0.2711 0.5000 0.1830  3 Ta 2.92-3.12, 4 Fe 3.02-3.15, 3 Pb 3.12-3.26
Pb 0.5629 0.0000 0.5463  3 Fe 2.94-3.06, 4 Ta 3.10, 3 Pb 3.12-3.26
Pb 0.7711 0.0000 0.1830  3 Ta 2.92-3.12, 4 Fe 3.02-3.15, 3 Pb 3.12-3.26

## C
DFT (SCAN) results for a PBEsol-optimized structure of TaFePb2.

V   19.649 A^3/atom
Crystal system   monoclinic
Symmetry   No. 12

Cell lengths 10.5917, 3.2762, 5.1926 Å; angles 90.00, 119.26, 90.00 degrees
Last column: nearest neighbours and their distance in Å.
Fractional positions:
Ta 0.0000 0.0000 0.0000  8 Pb 3.02-3.33, 4 Fe 3.07, 2 Ta 3.28
Ta 0.5000 0.5000 0.0000  8 Pb 3.02-3.33, 4 Fe 3.07, 2 Ta 3.28
Fe 0.0000 0.5000 0.5000  4 Pb 2.65
Fe 0.5000 0.0000 0.5000  4 Pb 2.65
Pb 0.2260 0.0000 0.7260  2 Fe 2.65
Pb 0.2740 0.5000 0.2740  2 Fe 2.65
Pb 0.7260 0.5000 0.7260  2 Fe 2.65
Pb 0.7740 0.0000 0.2740  2 Fe 2.65

The structure with the least stability is A.

## A
DFT (SCAN) results for a PBEsol-optimized structure of Tl2FePb.

V   23.785 A^3/atom
Crystal system   orthorhombic
Symmetry   No. 44

Cell lengths 3.0731, 4.5828, 13.5111 Å; angles 90.00, 90.00, 90.00 degrees
Last column: nearest neighbours and their distance in Å.
Fractional positions:
Tl 0.0000 0.0000 0.0000  4 Fe 2.76, 2 Tl 3.07
Tl 0.0000 0.5000 0.1773  2 Fe 2.88, 2 Tl 3.07
Tl 0.5000 0.0000 0.6773  2 Fe 2.88, 2 Tl 3.07
Tl 0.5000 0.5000 0.5000  4 Fe 2.76, 2 Tl 3.07
Fe 0.0000 0.0000 0.4971  6 Tl 2.76-2.88, 2 Pb 2.85, 2 Fe 3.07
Fe 0.5000 0.5000 0.9971  6 Tl 2.76-2.88, 2 Pb 2.85, 2 Fe 3.07
Pb 0.0000 0.5000 0.8197  2 Fe 2.85, 2 Pb 3.07
Pb 0.5000 0.0000 0.3197  2 Fe 2.85, 2 Pb 3.07

## B
DFT (SCAN) results for a PBEsol-optimized structure of Tl2FePb.

V   24.050 A^3/atom
Crystal system   orthorhombic
Symmetry   No. 71

Cell lengths 3.1195, 4.4500, 13.8599 Å; angles 90.00, 90.00, 90.00 degrees
Last column: nearest neighbours and their distance in Å.
Fractional positions:
Tl 0.0000 0.0000 0.1808  2 Fe 2.95, 2 Tl 3.12
Tl 0.0000 0.0000 0.8192  2 Fe 2.95, 2 Tl 3.12
Tl 0.5000 0.5000 0.3192  2 Fe 2.95, 2 Tl 3.12
Tl 0.5000 0.5000 0.6808  2 Fe 2.95, 2 Tl 3.12
Fe 0.0000 0.5000 0.5000  4 Pb 2.72, 4 Tl 2.95
Fe 0.5000 0.0000 0.0000  4 Pb 2.72, 4 Tl 2.95
Pb 0.0000 0.5000 0.0000  4 Fe 2.72
Pb 0.5000 0.0000 0.5000  4 Fe 2.72

The structure with the least stability is B.

## A
DFT (SCAN) results for a PBEsol-optimized structure of TlFePb2.

V   24.479 A^3/atom
Crystal system   orthorhombic
Symmetry   No. 44

Cell lengths 3.1645, 4.4983, 13.7573 Å; angles 90.00, 90.00, 90.00 degrees
Last column: nearest neighbours and their distance in Å.
Fractional positions:
Tl 0.0000 0.0000 0.0000  2 Fe 2.99, 2 Tl 3.16, 2 Pb 3.32
Tl 0.5000 0.5000 0.5000  2 Fe 2.99, 2 Tl 3.16, 2 Pb 3.32
Fe 0.0000 0.5000 0.6840  6 Pb 2.75-2.89, 2 Tl 2.99
Fe 0.5000 0.0000 0.1840  6 Pb 2.75-2.89, 2 Tl 2.99
Pb 0.0000 0.0000 0.3594  2 Fe 2.89, 2 Pb 3.16
Pb 0.0000 0.5000 0.1776  4 Fe 2.75
Pb 0.5000 0.0000 0.6776  4 Fe 2.75
Pb 0.5000 0.5000 0.8594  2 Fe 2.89, 2 Pb 3.16

## B
DFT (SCAN) results for a PBEsol-optimized structure of TlFePb2.

V   24.209 A^3/atom
Crystal system   monoclinic
Symmetry   No. 12

Cell lengths 6.6854, 8.7704, 3.3031 Å; angles 90.00, 90.15, 90.00 degrees
Last column: nearest neighbours and their distance in Å.
Fractional positions:
Tl 0.0000 0.0000 0.0000  8 Pb 3.21-3.22, 2 Tl 3.30, 2 Fe 3.34
Tl 0.5000 0.5000 0.0000  8 Pb 3.21-3.22, 2 Tl 3.30, 2 Fe 3.34
Fe 0.0000 0.5000 0.0000  8 Pb 3.21-3.22, 2 Fe 3.30, 2 Tl 3.34
Fe 0.5000 0.0000 0.0000  8 Pb 3.21-3.22, 2 Fe 3.30, 2 Tl 3.34
Pb 0.2500 0.2500 0.5000  4 Tl 3.21-3.22, 4 Fe 3.21-3.22, 4 Pb 3.30-3.34
Pb 0.2500 0.7500 0.5000  4 Tl 3.21-3.22, 4 Fe 3.21-3.22, 4 Pb 3.30-3.34
Pb 0.7500 0.2500 0.5000  4 Tl 3.21-3.22, 4 Fe 3.21-3.22, 4 Pb 3.30-3.34
Pb 0.7500 0.7500 0.5000  4 Tl 3.21-3.22, 4 Fe 3.21-3.22, 4 Pb 3.30-3.34

The structure with the least stability is B.